1.
GGA-PBE MnAg2Cl, relaxed; excess energy over the best structure of this formula in the dataset = 0.59 eV/f.u.; DOS(E_F) = 1.03 states/eV/cell; SG = P4/mmm; E_form (uncorrected) = 0.38 eV/f.u.
1.0
3.1377 0.0000 0.0000
0.0000 3.1385 0.0000
0.0000 0.0000 7.4590
Ag Mn Cl
2 1 1
Cartesian
0.0000 0.0000 3.8255
0.0000 0.0000 7.3630
1.5689 1.5692 5.5942
1.5689 1.5692 1.8647



2.
GGA-PBE Mn4Ag2Cl9, relaxed; DOS(E_F) = 17.98 states/eV/cell; SG = P-1; E_form (uncorrected) = -11.43 eV/f.u.
1.0
-2.5743 1.5164 -5.8398
1.8498 -3.3019 -5.3375
-13.2017 -12.0082 2.7377
Mn Cl Ag
8 18 4
Cartesian
-6.7408 -6.4145 -2.3567
-9.1926 -8.7733 -1.8678
-7.1854 -7.3793 -6.0828
-2.6235 -2.7581 -3.2332
-11.3027 -11.0357 -5.2063
-0.6284 -1.3205 -7.4112
-4.7336 -5.0205 -6.5717
-13.2977 -12.4732 -1.0282
-5.3694 -7.2608 -7.8838
-2.0947 -5.1660 -2.8217
-2.6476 -0.0908 -3.5329
-0.8228 -2.5085 -5.1820
-7.3830 -4.7761 -6.5750
-5.3145 -6.5775 -4.4968
-4.3632 -3.1297 -4.9818
-8.5568 -6.5330 -0.5557
-13.4547 -11.6810 -6.6620
-11.5857 -8.0259 -1.7884
-0.4715 -2.1128 -1.7775
-13.1034 -11.2853 -3.2575
-11.8315 -8.6278 -5.6178
-8.6117 -7.2163 -3.9427
-9.5630 -10.6641 -3.4577
-6.5431 -9.0177 -1.8645
-11.2786 -13.7030 -4.9066
-2.3405 -5.7679 -6.6511
-2.7314 -7.4392 -4.4223
-11.1621 -10.1538 2.3020
-11.1948 -6.3546 -4.0172
-2.7641 -3.6400 -10.7415



3.
GGA-PBE MnAg2Cl, relaxed; excess energy over the best structure of this formula in the dataset = 0.62 eV/f.u.; DOS(E_F) = 2.09 states/eV/cell; SG = R-3m; E_form (uncorrected) = 0.40 eV/f.u.
1.0
-0.6404 -8.0779 -2.0562
1.2702 -8.2415 0.5962
-1.9811 -8.0686 0.9295
Ag Mn Cl
2 1 1
Cartesian
-0.6735 -12.1552 -0.2644
-0.0021 -0.0388 -0.0008
-1.0135 -18.2910 -0.3979
-0.3378 -6.0970 -0.1326



4.
GGA-PBE Mn2AgCl5, relaxed; SG = Cm; E_form (uncorrected) = -6.64 eV/f.u.
1.0
-6.1618 -2.3476 -2.9698
-1.2573 -6.1596 -3.9700
-5.0526 -4.7069 2.7564
Mn Cl Ag
2 5 1
Cartesian
-6.7088 -4.5498 -0.2722
-4.6167 -5.3507 -3.9802
-2.8788 -6.4427 -2.4850
-7.7196 -9.0361 -2.4044
-9.8301 -11.7965 -2.9991
-6.3307 -5.7452 -2.3314
-4.7406 -5.7301 0.8146
-11.9644 -12.6489 -4.0193



5.
GGA-PBE MnAg2Cl, relaxed; excess energy over the best structure of this formula in the dataset = 1.31 eV/f.u.; DOS(E_F) = 3.87 states/eV/cell; SG = I-42d; E_form (uncorrected) = 1.10 eV/f.u.
1.0
-0.4403 7.6249 -0.8846
-5.8714 -0.9052 -4.8808
-4.9285 3.5018 -0.7766
Ag Mn Cl
4 2 2
Cartesian
-2.2418 5.5381 -1.3583
-6.0553 5.1474 -2.7379
-4.9562 1.2525 -3.3540
-9.2270 8.5048 -5.6337
-4.2623 7.2433 -2.2719
0.0000 0.0000 0.0000
-6.9779 2.9782 -4.2700
-3.1558 3.3598 -2.8827



6.
GGA-PBE MnAg2Cl, relaxed; excess energy over the best structure of this formula in the dataset = 0.97 eV/f.u.; DOS(E_F) = 2.02 states/eV/cell; SG = C2/m; E_form (uncorrected) = 0.75 eV/f.u.
1.0
-4.4953 -3.7325 -2.1031
5.4566 1.2665 -2.6803
1.3702 -2.7607 -0.2849
Cl Ag Mn
1 2 1
Cartesian
-1.5626 -3.2466 -1.1940
0.4806 -1.2330 -2.3917
0.0000 0.0000 0.0000
3.4134 -0.7471 -1.4826



no.,electronic total energy (Ry per atom),spin magnetization (μB per formula unit)
1,-0.30026,4.09
2,-0.34510,0.11
3,-0.29982,4.16
4,-0.34050,10.00
5,-0.28703,4.43
6,-0.29343,4.50